Entry from the Alexandria database: Co2Pd3Pt4 after structural relaxation (PBE).

Cell: 4.7448 7.0711 8.6102 Å, 73.41 74.10 89.91°
Closest atoms and distances in Å follow each position.
Element x y z (fractional)
Co1 0.1085 0.3640 0.1104  5 Pd 2.67-2.77, 5 Pt 2.67-2.77, 2 Co 2.71-2.76
Co2 0.3326 0.9152 0.6673  5 Pt 2.68-2.74, 5 Pd 2.69-2.76, 2 Co 2.76-2.79
Co3 0.6674 0.0848 0.3327  5 Pt 2.68-2.74, 5 Pd 2.69-2.76, 2 Co 2.76-2.79
Co4 0.8915 0.6360 0.8896  5 Pd 2.67-2.77, 5 Pt 2.67-2.77, 2 Co 2.71-2.76
Pd1 0.1133 0.1915 0.4420  6 Pt 2.67-2.82, 2 Pd 2.71-2.78, 4 Co 2.72-2.77
Pd2 0.2264 0.1382 0.8878  8 Pt 2.74-2.80, 2 Co 2.74-2.77, 2 Pd 2.76-2.78
Pd3 0.4351 0.5325 0.7808  6 Pt 2.65-2.87, 4 Co 2.67-2.76, 2 Pd 2.76-2.78
Pd4 0.5649 0.4675 0.2192  6 Pt 2.65-2.87, 4 Co 2.67-2.76, 2 Pd 2.76-2.78
Pd5 0.7736 0.8618 0.1122  8 Pt 2.74-2.80, 2 Co 2.74-2.77, 2 Pd 2.76-2.78
Pd6 0.8867 0.8085 0.5580  6 Pt 2.67-2.82, 2 Pd 2.71-2.78, 4 Co 2.72-2.77
Pt1 0.0054 0.5832 0.3306  1 Co 2.72, 5 Pd 2.74-2.80, 6 Pt 2.76-2.82
Pt2 0.2208 0.9852 0.2193  5 Pd 2.67-2.82, 3 Co 2.68-2.73, 4 Pt 2.75-2.86
Pt3 0.3265 0.7431 0.9973  5 Pd 2.65-2.80, 4 Co 2.67-2.77, 3 Pt 2.75-2.86
Pt4 0.4447 0.7052 0.4456  2 Co 2.68-2.69, 5 Pd 2.72-2.87, 5 Pt 2.77-2.88
Pt5 0.5553 0.2948 0.5544  2 Co 2.68-2.69, 5 Pd 2.72-2.87, 5 Pt 2.77-2.88
Pt6 0.6735 0.2569 0.0027  5 Pd 2.65-2.80, 4 Co 2.67-2.77, 3 Pt 2.75-2.86
Pt7 0.7792 0.0148 0.7807  5 Pd 2.67-2.82, 3 Co 2.68-2.73, 4 Pt 2.75-2.86
Pt8 0.9946 0.4168 0.6694  1 Co 2.72, 5 Pd 2.74-2.80, 6 Pt 2.76-2.82

Results
For the volume, the calculation gives 14.741 Å³ per atom. The formation energy is 0.002 eV/atom. As for the crystal system: triclinic.